## A
# LaSbTe2Se

A geometry-optimized LaSbTe2Se structure (PBE, the Alexandria database).

Geometry as CIF:
```
data_LaSbTe2Se
_cell_length_a 6.0743
_cell_length_b 6.0743
_cell_length_c 6.3682
_cell_angle_alpha 90.00
_cell_angle_beta 90.00
_cell_angle_gamma 90.00
_symmetry_space_group_name_H-M 'P 4/m m m'
_symmetry_Int_Tables_number 123
_symmetry_space_group_name_Hall '-P 4 2'
loop_
_atom_site_label
_atom_site_type_symbol
_atom_site_fract_x
_atom_site_fract_y
_atom_site_fract_z
La1 La 0.0000 0.0000 0.0000
Sb1 Sb 0.0000 0.0000 0.5000
Te1 Te 0.0000 0.5000 0.0000
Se1 Se 0.5000 0.5000 0.5000
```

Calculated values
density of states at the Fermi level: 1.5721 states/eV per atom
V: 46.99 Å³ per atom



## B
# LaSbTe2Se

A geometry-optimized LaSbTe2Se structure (PBE, the Alexandria database).

Geometry as CIF:
```
data_LaSbTe2Se
_cell_length_a 5.4451
_cell_length_b 5.4451
_cell_length_c 5.4383
_cell_angle_alpha 90.00
_cell_angle_beta 90.00
_cell_angle_gamma 90.00
_symmetry_space_group_name_H-M 'P 4/m m m'
_symmetry_Int_Tables_number 123
_symmetry_space_group_name_Hall '-P 4 2'
loop_
_atom_site_label
_atom_site_type_symbol
_atom_site_fract_x
_atom_site_fract_y
_atom_site_fract_z
La1 La 0.0000 0.0000 0.0000
Sb1 Sb 0.5000 0.5000 0.0000
Te1 Te 0.0000 0.5000 0.5000
Se1 Se 0.5000 0.5000 0.5000
```

Calculated values
density of states at the Fermi level: 0.4590 states/eV per atom
V: 32.25 Å³ per atom



Top of the stability list: B, leading by 64.3 kJ/mol of atoms.



## A
# LaSiSb3

A geometry-optimized LaSiSb3 structure (PBE, the Alexandria database).

Geometry as CIF:
```
data_LaSiSb3
_cell_length_a 5.2631
_cell_length_b 5.2631
_cell_length_c 5.2631
_cell_angle_alpha 90.00
_cell_angle_beta 90.00
_cell_angle_gamma 90.00
_symmetry_space_group_name_H-M 'P m -3 m'
_symmetry_Int_Tables_number 221
_symmetry_space_group_name_Hall '-P 4 2 3'
loop_
_atom_site_label
_atom_site_type_symbol
_atom_site_fract_x
_atom_site_fract_y
_atom_site_fract_z
La1 La 0.0000 0.0000 0.0000
Si1 Si 0.5000 0.5000 0.5000
Sb1 Sb 0.0000 0.5000 0.5000
```

Calculated values
density of states at the Fermi level: 0.7787 states/eV per atom
V: 29.16 Å³ per atom



## B
# LaSiSb3

A geometry-optimized LaSiSb3 structure (PBE, the Alexandria database).

Geometry as CIF:
```
data_LaSiSb3
_cell_length_a 5.9878
_cell_length_b 5.9878
_cell_length_c 5.9878
_cell_angle_alpha 90.00
_cell_angle_beta 90.00
_cell_angle_gamma 90.00
_symmetry_space_group_name_H-M 'P m -3 m'
_symmetry_Int_Tables_number 221
_symmetry_space_group_name_Hall '-P 4 2 3'
loop_
_atom_site_label
_atom_site_type_symbol
_atom_site_fract_x
_atom_site_fract_y
_atom_site_fract_z
La1 La 0.0000 0.0000 0.0000
Si1 Si 0.5000 0.5000 0.5000
Sb1 Sb 0.0000 0.0000 0.5000
```

Calculated values
density of states at the Fermi level: 1.2499 states/eV per atom
V: 42.94 Å³ per atom



Top of the stability list: A, leading by 99.6 kJ/mol of atoms.



## A
# La2SiSb

A geometry-optimized La2SiSb structure (PBE, the Alexandria database).

Geometry as CIF:
```
data_La2SiSb
_cell_length_a 5.7932
_cell_length_b 5.7932
_cell_length_c 6.6350
_cell_angle_alpha 90.00
_cell_angle_beta 90.00
_cell_angle_gamma 90.00
_symmetry_space_group_name_H-M 'I 4/m m m'
_symmetry_Int_Tables_number 139
_symmetry_space_group_name_Hall '-I 4 2'
loop_
_atom_site_label
_atom_site_type_symbol
_atom_site_fract_x
_atom_site_fract_y
_atom_site_fract_z
La1 La 0.0000 0.5000 0.2500
Si1 Si 0.0000 0.0000 0.0000
Sb1 Sb 0.0000 0.0000 0.5000
```

Calculated values
density of states at the Fermi level: 0.7927 states/eV per atom
V: 27.83 Å³ per atom



## B
# La2SiSb

A geometry-optimized La2SiSb structure (PBE, the Alexandria database).

Geometry as CIF:
```
data_La2SiSb
_cell_length_a 5.1048
_cell_length_b 5.3252
_cell_length_c 8.6807
_cell_angle_alpha 90.00
_cell_angle_beta 90.00
_cell_angle_gamma 90.00
_symmetry_space_group_name_H-M 'C m m 2'
_symmetry_Int_Tables_number 35
loop_
_symmetry_equiv_pos_as_xyz
'x,y,z'
'-x,-y,z'
'-x,y,z'
'x,-y,z'
'x+1/2,y+1/2,z'
'-x+1/2,-y+1/2,z'
'-x+1/2,y+1/2,z'
'x+1/2,-y+1/2,z'
loop_
_atom_site_label
_atom_site_type_symbol
_atom_site_fract_x
_atom_site_fract_y
_atom_site_fract_z
La1 La 0.0000 0.0000 0.0000
La2 La 0.0000 0.5000 0.3951
Si1 Si 0.0000 0.5000 0.7791
Sb1 Sb 0.0000 0.0000 0.6312
```

Calculated values
density of states at the Fermi level: 1.0241 states/eV per atom
V: 29.50 Å³ per atom



Top of the stability list: A, leading by 43.4 kJ/mol of atoms.



## A
# La2SiSb

A geometry-optimized La2SiSb structure (PBE, the Alexandria database).

Geometry as CIF:
```
data_La2SiSb
_cell_length_a 4.0300
_cell_length_b 3.3605
_cell_length_c 8.1907
_cell_angle_alpha 90.00
_cell_angle_beta 90.05
_cell_angle_gamma 90.00
_symmetry_space_group_name_H-M 'P 1 2/m 1'
_symmetry_Int_Tables_number 10
loop_
_symmetry_equiv_pos_as_xyz
'x,y,z'
'-x,-y,-z'
'-x,y,-z'
'x,-y,z'
loop_
_atom_site_label
_atom_site_type_symbol
_atom_site_fract_x
_atom_site_fract_y
_atom_site_fract_z
La1 La 0.0019 0.0000 0.2709
Si1 Si 0.5000 0.5000 0.5000
Sb1 Sb 0.5000 0.5000 0.0000
```

Calculated values
density of states at the Fermi level: 0.9630 states/eV per atom
V: 27.73 Å³ per atom



## B
# La2SiSb

A geometry-optimized La2SiSb structure (PBE, the Alexandria database).

Geometry as CIF:
```
data_La2SiSb
_cell_length_a 4.1930
_cell_length_b 4.8878
_cell_length_c 5.5313
_cell_angle_alpha 90.00
_cell_angle_beta 90.00
_cell_angle_gamma 90.00
_symmetry_space_group_name_H-M 'P m m m'
_symmetry_Int_Tables_number 47
loop_
_symmetry_equiv_pos_as_xyz
'x,y,z'
'-x,-y,-z'
'-x,-y,z'
'x,y,-z'
'x,-y,-z'
'-x,y,z'
'-x,y,-z'
'x,-y,z'
loop_
_atom_site_label
_atom_site_type_symbol
_atom_site_fract_x
_atom_site_fract_y
_atom_site_fract_z
La1 La 0.0000 0.0000 0.0000
La2 La 0.0000 0.5000 0.5000
Si1 Si 0.5000 0.0000 0.5000
Sb1 Sb 0.5000 0.5000 0.0000
```

Calculated values
density of states at the Fermi level: 0.9323 states/eV per atom
V: 28.34 Å³ per atom



Top of the stability list: A, leading by 5.2 kJ/mol of atoms.



## A
# La2SiSb

A geometry-optimized La2SiSb structure (PBE, the Alexandria database).

Geometry as CIF:
```
data_La2SiSb
_cell_length_a 11.6339
_cell_length_b 4.4957
_cell_length_c 4.5074
_cell_angle_alpha 90.00
_cell_angle_beta 95.15
_cell_angle_gamma 90.00
_symmetry_space_group_name_H-M 'C 1 m 1'
_symmetry_Int_Tables_number 8
loop_
_symmetry_equiv_pos_as_xyz
'x,y,z'
'x,-y,z'
'x+1/2,y+1/2,z'
'x+1/2,-y+1/2,z'
loop_
_atom_site_label
_atom_site_type_symbol
_atom_site_fract_x
_atom_site_fract_y
_atom_site_fract_z
La1 La 0.0000 0.0000 0.0000
La2 La 0.2311 0.5000 0.5209
Si1 Si 0.2636 0.0000 0.0406
Sb1 Sb 0.4486 0.0000 0.4809
```

Calculated values
density of states at the Fermi level: 0.4720 states/eV per atom
V: 29.35 Å³ per atom



## B
# La2SiSb

A geometry-optimized La2SiSb structure (PBE, the Alexandria database).

Geometry as CIF:
```
data_La2SiSb
_cell_length_a 4.5304
_cell_length_b 4.5304
_cell_length_c 11.0451
_cell_angle_alpha 90.00
_cell_angle_beta 90.00
_cell_angle_gamma 90.00
_symmetry_space_group_name_H-M 'I -4 m 2'
_symmetry_Int_Tables_number 119
_symmetry_space_group_name_Hall 'I -4 -2'
loop_
_atom_site_label
_atom_site_type_symbol
_atom_site_fract_x
_atom_site_fract_y
_atom_site_fract_z
La1 La 0.0000 0.0000 0.0000
La2 La 0.0000 0.5000 0.2500
Si1 Si 0.0000 0.0000 0.5000
Sb1 Sb 0.0000 0.5000 0.7500
```

Calculated values
density of states at the Fermi level: 0.4655 states/eV per atom
V: 28.34 Å³ per atom



## C
# La2SiSb

A geometry-optimized La2SiSb structure (PBE, the Alexandria database).

Geometry as CIF:
```
data_La2SiSb
_cell_length_a 7.7069
_cell_length_b 7.7069
_cell_length_c 7.7069
_cell_angle_alpha 90.00
_cell_angle_beta 90.00
_cell_angle_gamma 90.00
_symmetry_space_group_name_H-M 'F m -3 m'
_symmetry_Int_Tables_number 225
_symmetry_space_group_name_Hall '-F 4 2 3'
loop_
_atom_site_label
_atom_site_type_symbol
_atom_site_fract_x
_atom_site_fract_y
_atom_site_fract_z
La1 La 0.2500 0.2500 0.2500
Si1 Si 0.0000 0.0000 0.0000
Sb1 Sb 0.0000 0.0000 0.5000
```

Calculated values
density of states at the Fermi level: 1.5975 states/eV per atom
V: 28.61 Å³ per atom



## D
# La2SiSb

A geometry-optimized La2SiSb structure (PBE, the Alexandria database).

Geometry as CIF:
```
data_La2SiSb
_cell_length_a 6.6568
_cell_length_b 8.2099
_cell_length_c 4.0742
_cell_angle_alpha 90.00
_cell_angle_beta 90.00
_cell_angle_gamma 90.00
_symmetry_space_group_name_H-M 'C m m m'
_symmetry_Int_Tables_number 65
_symmetry_space_group_name_Hall '-C 2 2'
loop_
_atom_site_label
_atom_site_type_symbol
_atom_site_fract_x
_atom_site_fract_y
_atom_site_fract_z
La1 La 0.2500 0.2500 0.0000
Si1 Si 0.0000 0.0000 0.5000
Sb1 Sb 0.0000 0.5000 0.5000
```

Calculated values
density of states at the Fermi level: 0.9150 states/eV per atom
V: 27.83 Å³ per atom



Top of the stability list: A, leading by 11.5 kJ/mol of atoms.



## A
# La2SiSb

A geometry-optimized La2SiSb structure (PBE, the Alexandria database).

Geometry as CIF:
```
data_La2SiSb
_cell_length_a 5.1272
_cell_length_b 5.1272
_cell_length_c 15.3570
_cell_angle_alpha 90.00
_cell_angle_beta 90.00
_cell_angle_gamma 120.00
_symmetry_space_group_name_H-M 'R 3 m'
_symmetry_Int_Tables_number 160
_symmetry_space_group_name_Hall 'R 3 -2"'
loop_
_atom_site_label
_atom_site_type_symbol
_atom_site_fract_x
_atom_site_fract_y
_atom_site_fract_z
La1 La 0.0000 0.0000 0.0000
La2 La 0.0000 0.0000 0.1894
Si1 Si 0.0000 0.0000 0.4189
Sb1 Sb 0.0000 0.0000 0.7654
```

Calculated values
density of states at the Fermi level: 0.6911 states/eV per atom
V: 29.13 Å³ per atom



## B
# La2SiSb

A geometry-optimized La2SiSb structure (PBE, the Alexandria database).

Geometry as CIF:
```
data_La2SiSb
_cell_length_a 4.5126
_cell_length_b 4.5126
_cell_length_c 6.3809
_cell_angle_alpha 90.00
_cell_angle_beta 90.00
_cell_angle_gamma 90.00
_symmetry_space_group_name_H-M 'P 4/m m m'
_symmetry_Int_Tables_number 123
_symmetry_space_group_name_Hall '-P 4 2'
loop_
_atom_site_label
_atom_site_type_symbol
_atom_site_fract_x
_atom_site_fract_y
_atom_site_fract_z
La1 La 0.0000 0.0000 0.0000
La2 La 0.5000 0.5000 0.5000
Si1 Si 0.0000 0.0000 0.5000
Sb1 Sb 0.5000 0.5000 0.0000
```

Calculated values
density of states at the Fermi level: 0.9438 states/eV per atom
V: 32.48 Å³ per atom



## C
# La2SiSb

A geometry-optimized La2SiSb structure (PBE, the Alexandria database).

Geometry as CIF:
```
data_La2SiSb
_cell_length_a 7.7316
_cell_length_b 4.4491
_cell_length_c 7.9225
_cell_angle_alpha 90.00
_cell_angle_beta 108.82
_cell_angle_gamma 90.00
_symmetry_space_group_name_H-M 'C 1 2/m 1'
_symmetry_Int_Tables_number 12
loop_
_symmetry_equiv_pos_as_xyz
'x,y,z'
'-x,-y,-z'
'-x,y,-z'
'x,-y,z'
'x+1/2,y+1/2,z'
'-x+1/2,-y+1/2,-z'
'-x+1/2,y+1/2,-z'
'x+1/2,-y+1/2,z'
loop_
_atom_site_label
_atom_site_type_symbol
_atom_site_fract_x
_atom_site_fract_y
_atom_site_fract_z
La1 La 0.2453 0.0000 0.2358
Si1 Si 0.0000 0.5000 0.0000
Sb1 Sb 0.0000 0.0000 0.5000
```

Calculated values
density of states at the Fermi level: 1.0289 states/eV per atom
V: 32.24 Å³ per atom



Top of the stability list: C, leading by 1.9 kJ/mol of atoms.